An optimized crystal structure of MoWF2, computed with GGA+U.

The structure in POSCAR format:
```
MoWF2
1.0
-2.4132 1.3953 3.7758
0.5854 -4.2339 1.9387
5.0410 0.7754 5.8522
W Mo F
2 2 4
Cartesian
0.0000 0.0000 0.0000 W
0.8569 0.3757 6.2426 W
-0.9139 -1.4193 2.8572 Mo
2.3562 -2.4389 5.3240 Mo
3.0177 0.0782 6.2751 F
1.6736 1.7706 7.7075 F
-0.7689 -1.0675 6.4221 F
-0.4946 0.7216 4.5656 F
```

Its space group is No. 122. The total magnetization comes out at 11.8 μB/cell. As for the excess energy over the best structure of this formula in the dataset: 216 meV per atom. The value obtained for the uncorrected energy is -36.25 eV for the cell shown. As for the density: 6.8 g/cm³.